A.
Compound: Ac2HgPd
Source: the Alexandria database
Functional: PBE
Structure: relaxed

Geometry as extended XYZ:
```
4
Lattice="3.8868 0.0000 0.0000 0.0000 3.8868 0.0000 0.0000 0.0000 8.0279" Properties=species:S:1:pos:R:3 pbc="T T T"
Ac 0.0000 0.0000 1.8471
Ac 0.0000 0.0000 6.1808
Hg 1.9434 1.9434 4.0140
Pd 1.9434 1.9434 0.0000
```

Total moment (μB per atom): 0.000
SG: P4/mmm, No. 123

=====

B.
Compound: Ac2HgPd
Source: the Alexandria database
Functional: PBE
Structure: relaxed

Geometry as extended XYZ:
```
8
Lattice="5.9109 -2.7076 0.0000 5.9109 2.7076 0.0000 -3.5083 0.0000 8.3996" Properties=species:S:1:pos:R:3 pbc="T T T"
Ac 1.7817 0.0007 0.7421
Ac 0.0275 -0.0007 4.9419
Ac 8.2859 0.0007 3.4576
Ac 6.5317 -0.0007 7.6574
Hg 3.2796 0.0084 6.2997
Hg 5.0338 -0.0084 2.0999
Pd 5.0338 2.6985 2.0999
Pd 3.2796 -2.6985 6.2997
```

Total moment (μB per atom): 0.000
SG: C2/c, No. 15

=====

Which of them is least stable? Easy: B.

=====

A.
Compound: Ac3Hg2Pd4
Source: the Alexandria database
Functional: PBE
Structure: relaxed

Geometry as extended XYZ:
```
9
Lattice="5.3671 -2.2667 0.0000 5.3671 2.2667 0.0000 -0.5953 0.0000 9.5639" Properties=species:S:1:pos:R:3 pbc="T T T"
Ac 0.0000 0.0000 0.0000
Ac 3.6213 0.0000 5.9521
Ac 6.5176 0.0000 3.6118
Hg 3.3740 0.0000 2.1039
Hg 6.7649 0.0000 7.4600
Pd 0.4677 0.0000 5.9477
Pd 2.5536 0.0000 8.8034
Pd 7.5853 0.0000 0.7605
Pd 9.6712 0.0000 3.6163
```

Total moment (μB per atom): 0.000
SG: C2/m, No. 12

=====

B.
Compound: Ac3Hg2Pd4
Source: the Alexandria database
Functional: PBE
Structure: relaxed

Geometry as extended XYZ:
```
9
Lattice="6.2035 -2.2159 0.0000 6.2035 2.2159 0.0000 -4.0823 0.0000 8.4971" Properties=species:S:1:pos:R:3 pbc="T T T"
Ac 0.0000 0.0000 0.0000
Ac 3.2129 0.0000 2.5916
Ac 5.1117 0.0000 5.9055
Hg 1.5064 0.0000 5.7776
Hg 6.8182 0.0000 2.7194
Pd -0.8557 0.0000 3.5384
Pd -0.2309 0.0000 8.0154
Pd 8.5555 0.0000 0.4817
Pd 9.1804 0.0000 4.9587
```

Total moment (μB per atom): 0.000
SG: C2/m, No. 12

=====

Which of them is least stable? Easy: A.

=====

A.
Compound: Ac3HgPd2
Source: the Alexandria database
Functional: PBE
Structure: relaxed

Geometry as extended XYZ:
```
12
Lattice="2.7447 -6.8820 0.0000 2.7447 6.8820 0.0000 0.0000 0.0000 10.2426" Properties=species:S:1:pos:R:3 pbc="T T T"
Ac 2.7447 5.4680 7.6819
Ac 2.7447 1.8381 5.5866
Ac 2.7447 1.8381 9.7773
Ac 2.7447 -1.8381 0.4653
Ac 2.7447 -1.8381 4.6560
Ac 2.7447 -5.4680 2.5606
Hg 2.7447 3.7182 2.5606
Hg 2.7447 -3.7182 7.6819
Pd 0.0000 0.0000 0.0000
Pd 0.0000 0.0000 5.1213
Pd 2.7447 0.4117 2.5606
Pd 2.7447 -0.4117 7.6819
```

Total moment (μB per atom): 0.000
SG: Cmcm, No. 63

=====

B.
Compound: Ac3HgPd2
Source: the Alexandria database
Functional: PBE
Structure: relaxed

Geometry as extended XYZ:
```
12
Lattice="4.0714 2.3506 6.8192 -4.0714 2.3506 6.8192 0.0000 -4.7013 6.8192" Properties=species:S:1:pos:R:3 pbc="T T T"
Ac -2.8848 -0.2953 8.5240
Ac -1.1866 -2.6459 11.9336
Ac 1.6981 -2.3506 8.5240
Ac -1.6981 2.3506 11.9336
Ac 1.1866 2.6459 8.5240
Ac 2.8848 0.2953 11.9336
Hg 0.0000 0.0000 0.0000
Hg 0.0000 0.0000 10.2288
Pd 0.0000 0.0000 3.0191
Pd 0.0000 0.0000 7.2098
Pd 0.0000 0.0000 13.2479
Pd 0.0000 0.0000 17.4386
```

Total moment (μB per atom): 0.000
SG: R-3c, No. 167

=====

Which of them is least stable? Easy: A.

=====

A.
Compound: Ac4Hg2Pd
Source: the Alexandria database
Functional: PBE
Structure: relaxed

Geometry as extended XYZ:
```
7
Lattice="8.9953 -2.1175 0.0000 8.9953 2.1175 0.0000 -2.8218 0.0000 6.7558" Properties=species:S:1:pos:R:3 pbc="T T T"
Ac 0.5002 0.0000 2.9666
Ac 6.7597 0.0000 0.3037
Ac 8.4091 0.0000 6.4521
Ac 14.6686 0.0000 3.7892
Hg 3.7388 0.0000 2.0161
Hg 11.4300 0.0000 4.7397
Pd 0.0000 0.0000 0.0000
```

Total moment (μB per atom): 0.000
SG: C2/m, No. 12

=====

B.
Compound: Ac4Hg2Pd
Source: the Alexandria database
Functional: PBE
Structure: relaxed

Geometry as extended XYZ:
```
7
Lattice="-2.9054 2.9054 8.0885 2.9054 -2.9054 8.0885 2.9054 2.9054 -8.0885" Properties=species:S:1:pos:R:3 pbc="T T T"
Ac 2.9054 0.0000 0.0000
Ac 0.0000 0.0000 3.0952
Ac 0.0000 2.9054 0.0000
Ac 0.0000 0.0000 13.0819
Hg 0.0000 0.0000 6.2772
Hg 0.0000 0.0000 9.8999
Pd 0.0000 0.0000 0.0000
```

Total moment (μB per atom): 0.000
SG: I4/mmm, No. 139

=====

Which of them is least stable? Easy: B.

=====

A.
Compound: Ac2HgPd9
Source: the Alexandria database
Functional: PBE
Structure: relaxed

Geometry as extended XYZ:
```
12
Lattice="2.7521 1.5889 9.0999 -2.7521 1.5889 9.0999 0.0000 -3.1778 9.0999" Properties=species:S:1:pos:R:3 pbc="T T T"
Ac 0.0000 0.0000 3.6252
Ac 0.0000 0.0000 23.6744
Hg 0.0000 0.0000 0.0000
Pd -1.3861 -0.8003 11.3734
Pd 0.0000 0.0000 9.0890
Pd 0.0000 -1.6006 15.9262
Pd -1.3861 0.8003 15.9262
Pd 0.0000 0.0000 13.6498
Pd 1.3861 -0.8003 11.3735
Pd 0.0000 1.6006 11.3735
Pd 0.0000 0.0000 18.2106
Pd 1.3861 0.8003 15.9262
```

Total moment (μB per atom): 0.000
SG: R-3m, No. 166

=====

B.
Compound: Ac2HgPd9
Source: the Alexandria database
Functional: PBE
Structure: relaxed

Geometry as extended XYZ:
```
12
Lattice="4.2940 0.0000 0.0000 0.0000 4.2940 0.0000 0.0000 0.0000 12.3574" Properties=species:S:1:pos:R:3 pbc="T T T"
Ac 0.0000 0.0000 2.1851
Ac 0.0000 0.0000 10.1723
Hg 0.0000 0.0000 6.1787
Pd 0.0000 2.1470 0.0000
Pd 0.0000 2.1470 4.2977
Pd 0.0000 2.1470 8.0597
Pd 2.1470 0.0000 0.0000
Pd 2.1470 0.0000 4.2977
Pd 2.1470 0.0000 8.0597
Pd 2.1470 2.1470 2.1352
Pd 2.1470 2.1470 6.1787
Pd 2.1470 2.1470 10.2222
```

Total moment (μB per atom): 0.000
SG: P4/mmm, No. 123

=====

Which of them is least stable? Easy: A.

=====

A.
Compound: AcHg4Pd2
Source: the Alexandria database
Functional: PBE
Structure: relaxed

Geometry as extended XYZ:
```
7
Lattice="2.2187 -8.7579 0.0000 2.2187 8.7579 0.0000 0.0000 0.0000 4.3412" Properties=species:S:1:pos:R:3 pbc="T T T"
Ac 0.0000 0.0000 0.0000
Hg 2.2187 5.6829 2.1706
Hg 2.2187 3.1629 0.0000
Hg 2.2187 -3.1629 0.0000
Hg 2.2187 -5.6829 2.1706
Pd 2.2187 1.3155 2.1706
Pd 2.2187 -1.3155 2.1706
```

Total moment (μB per atom): 0.000
SG: Cmmm, No. 65

=====

B.
Compound: AcHg4Pd2
Source: the Alexandria database
Functional: PBE
Structure: relaxed

Geometry as extended XYZ:
```
14
Lattice="8.7327 0.0000 0.0000 0.0000 8.7327 0.0000 0.0000 0.0000 4.3126" Properties=species:S:1:pos:R:3 pbc="T T T"
Ac 0.0000 0.0000 0.0000
Ac 4.3664 4.3664 2.1563
Hg 0.8151 2.9335 2.1563
Hg 1.4328 5.1815 0.0000
Hg 2.9335 0.8151 2.1563
Hg 3.5512 7.2999 0.0000
Hg 5.1815 1.4328 0.0000
Hg 5.7992 7.9176 2.1563
Hg 7.2999 3.5512 0.0000
Hg 7.9176 5.7992 2.1563
Pd 1.6661 7.0667 2.1563
Pd 2.7003 2.7003 0.0000
Pd 6.0324 6.0324 0.0000
Pd 7.0667 1.6661 2.1563
```

Total moment (μB per atom): 0.000
SG: P4_2/mnm, No. 136

=====

Which of them is least stable? Easy: A.

=====

A.
Compound: Ac2Hg5Pd5
Source: the Alexandria database
Functional: PBE
Structure: relaxed

Geometry as extended XYZ:
```
12
Lattice="4.6014 0.0000 0.0000 0.0000 5.8014 0.0000 0.0000 0.0000 10.1176" Properties=species:S:1:pos:R:3 pbc="T T T"
Ac 0.0000 0.0000 0.0000
Ac 0.0000 2.9007 5.0588
Hg 0.0000 0.0000 3.2636
Hg 0.0000 0.0000 6.8540
Hg 0.0000 2.9007 1.6803
Hg 0.0000 2.9007 8.4373
Hg 2.3007 0.0000 5.0588
Pd 2.3007 1.4668 2.5107
Pd 2.3007 1.4668 7.6070
Pd 2.3007 2.9007 0.0000
Pd 2.3007 4.3347 2.5107
Pd 2.3007 4.3347 7.6070
```

Total moment (μB per atom): 0.000
SG: Pmmm, No. 47

=====

B.
Compound: Ac2Hg5Pd5
Source: the Alexandria database
Functional: PBE
Structure: relaxed

Geometry as extended XYZ:
```
12
Lattice="4.6366 0.0000 0.0000 0.0000 5.8384 0.0000 0.0000 0.0000 10.0040" Properties=species:S:1:pos:R:3 pbc="T T T"
Ac 0.0000 0.0000 0.0000
Ac 0.0000 2.9192 5.0020
Hg 2.3183 0.0000 5.0020
Hg 2.3183 1.4657 2.4041
Hg 2.3183 1.4657 7.5999
Hg 2.3183 4.3727 2.4041
Hg 2.3183 4.3727 7.5999
Pd 0.0000 0.0000 3.3525
Pd 0.0000 0.0000 6.6515
Pd 0.0000 2.9192 1.6035
Pd 0.0000 2.9192 8.4005
Pd 2.3183 2.9192 0.0000
```

Total moment (μB per atom): 0.000
SG: Pmmm, No. 47

=====

Which of them is least stable? Easy: A.

=====

A.
Compound: Ac2Hg2Pd3
Source: the Alexandria database
Functional: PBE
Structure: relaxed

Geometry as extended XYZ:
```
7
Lattice="5.3610 -2.1884 0.0000 5.3610 2.1884 0.0000 -2.2145 0.0000 7.2861" Properties=species:S:1:pos:R:3 pbc="T T T"
Ac 0.6888 0.0000 2.1195
Ac 7.8187 0.0000 5.1665
Hg 3.8357 0.0000 0.5094
Hg 4.6719 0.0000 6.7766
Pd 0.1904 0.0000 5.1512
Pd 4.2538 0.0000 3.6430
Pd 8.3172 0.0000 2.1349
```

Total moment (μB per atom): 0.000
SG: C2/m, No. 12

=====

B.
Compound: Ac2Hg2Pd3
Source: the Alexandria database
Functional: PBE
Structure: relaxed

Geometry as extended XYZ:
```
14
Lattice="2.1281 -9.8951 0.0000 2.1281 9.8951 0.0000 0.0000 0.0000 8.3366" Properties=species:S:1:pos:R:3 pbc="T T T"
Ac 2.1281 8.7237 6.2525
Ac 2.1281 6.8833 2.0842
Ac 2.1281 -6.8833 6.2525
Ac 2.1281 -8.7237 2.0842
Hg 2.1281 3.6951 0.4571
Hg 2.1281 3.6951 3.7112
Hg 2.1281 -3.6951 4.6254
Hg 2.1281 -3.6951 7.8796
Pd 2.1281 5.3447 6.2525
Pd 2.1281 1.1286 4.8602
Pd 2.1281 1.1286 7.6447
Pd 2.1281 -1.1286 0.6919
Pd 2.1281 -1.1286 3.4764
Pd 2.1281 -5.3447 2.0842
```

Total moment (μB per atom): 0.000
SG: Cmcm, No. 63

=====

Which of them is least stable? Easy: B.

=====

A.
Compound: Ac3Hg2Pd7
Source: the Alexandria database
Functional: PBE
Structure: relaxed

Geometry as extended XYZ:
```
12
Lattice="4.3697 0.0000 0.0000 0.0000 4.2673 0.0000 -2.1813 0.0000 14.8279" Properties=species:S:1:pos:R:3 pbc="T T T"
Ac 0.0000 0.0000 0.0000
Ac 0.0019 2.1336 9.3311
Ac 2.1864 2.1336 5.4968
Hg 0.0055 0.0000 3.8696
Hg 2.1828 0.0000 10.9583
Pd 0.0089 2.1336 2.1254
Pd 0.0017 0.0000 6.6211
Pd -0.0009 0.0000 12.6862
Pd 2.1848 2.1336 0.0000
Pd 2.1892 0.0000 2.1417
Pd 2.1866 0.0000 8.2068
Pd 2.1794 2.1336 12.7025
```

Total moment (μB per atom): 0.000
SG: P2/m, No. 10

=====

B.
Compound: Ac3Hg2Pd7
Source: the Alexandria database
Functional: PBE
Structure: relaxed

Geometry as extended XYZ:
```
12
Lattice="2.8658 1.6546 9.1432 -2.8658 1.6546 9.1432 0.0000 -3.3092 9.1432" Properties=species:S:1:pos:R:3 pbc="T T T"
Ac 0.0000 0.0000 0.0000
Ac 0.0000 0.0000 3.8165
Ac 0.0000 0.0000 23.6130
Hg 0.0000 0.0000 9.1344
Hg 0.0000 0.0000 18.2951
Pd -1.4386 -0.8306 11.4796
Pd 0.0000 -1.6612 15.9500
Pd -1.4386 0.8306 15.9500
Pd 0.0000 0.0000 13.7148
Pd 1.4386 -0.8306 11.4796
Pd 0.0000 1.6612 11.4796
Pd 1.4386 0.8306 15.9499
```

Total moment (μB per atom): 0.000
SG: R-3m, No. 166

=====

Which of them is least stable? Easy: A.

=====

A.
Compound: AcHg2Pd2
Source: the Alexandria database
Functional: PBE
Structure: relaxed

Geometry as extended XYZ:
```
10
Lattice="2.6600 -5.0847 0.0000 2.6600 5.0847 0.0000 -2.6347 0.0000 9.2301" Properties=species:S:1:pos:R:3 pbc="T T T"
Ac 0.6840 3.8141 6.9226
Ac 2.0013 -3.8141 2.3075
Hg 2.0106 1.2804 0.0597
Hg 1.9920 1.2804 4.5554
Hg 0.6933 -1.2804 4.6747
Hg 0.6746 -1.2804 9.1704
Pd 2.0013 3.0718 2.3075
Pd 0.6840 0.5168 6.9226
Pd 2.0013 -0.5168 2.3075
Pd 0.6840 -3.0718 6.9226
```

Total moment (μB per atom): 0.000
SG: C2/c, No. 15

=====

B.
Compound: AcHg2Pd2
Source: the Alexandria database
Functional: PBE
Structure: relaxed

Geometry as extended XYZ:
```
5
Lattice="-2.1717 2.1717 6.3357 2.1717 -2.1717 6.3357 2.1717 2.1717 -6.3357" Properties=species:S:1:pos:R:3 pbc="T T T"
Ac 0.0000 0.0000 0.0000
Hg 2.1717 0.0000 3.1678
Hg 0.0000 2.1717 3.1678
Pd 0.0000 0.0000 5.0163
Pd 0.0000 0.0000 7.6551
```

Total moment (μB per atom): 0.000
SG: I4/mmm, No. 139

=====

Which of them is least stable? Easy: A.